This record from Alexandria via LeMat-Bulk describes a PBEsol-optimized structure of CaAlIr3. The functional is SCAN.

Cell and atoms, written as CIF:
```
data_CaAlIr3
_cell_length_a 4.650
_cell_length_b 4.650
_cell_length_c 4.650
_cell_angle_alpha 90.00
_cell_angle_beta 90.00
_cell_angle_gamma 90.00
_symmetry_space_group_name_H-M 'P 1'
_symmetry_Int_Tables_number 1
_symmetry_space_group_name_Hall 'P 1'
loop_
_atom_site_label
_atom_site_type_symbol
_atom_site_fract_x
_atom_site_fract_y
_atom_site_fract_z
Ca1 Ca 0.000 0.000 0.000
Al1 Al 0.500 0.500 0.500
Ir1 Ir 0.000 0.000 0.500
Ir2 Ir 0.000 0.500 0.000
Ir3 Ir 0.500 0.000 0.000
```

Properties
For the density, the calculation gives 10632 kg/m³. For the electronic total energy, the calculation gives -43.746 eV per atom.

---

This record from Alexandria via LeMat-Bulk describes a PBEsol-optimized structure of SrBe3Os. The functional is SCAN.

Cell and atoms, written as CIF:
```
data_SrBe3Os
_cell_length_a 4.354
_cell_length_b 4.354
_cell_length_c 4.354
_cell_angle_alpha 90.00
_cell_angle_beta 90.00
_cell_angle_gamma 90.00
_symmetry_space_group_name_H-M 'P 1'
_symmetry_Int_Tables_number 1
_symmetry_space_group_name_Hall 'P 1'
loop_
_atom_site_label
_atom_site_type_symbol
_atom_site_fract_x
_atom_site_fract_y
_atom_site_fract_z
Sr1 Sr 0.000 0.000 0.000
Be1 Be 0.000 0.000 0.500
Be2 Be 0.000 0.500 0.000
Be3 Be 0.500 0.000 0.000
Os1 Os 0.500 0.500 0.500
```

Properties
For the density, the calculation gives 6134 kg/m³. The energy above the most stable polymorph in this dataset is 2974 meV per atom.

---

This record from Alexandria via LeMat-Bulk describes a PBEsol-optimized structure of BaSr2. The functional is SCAN.

Cell and atoms, written as CIF:
```
data_BaSr2
_cell_length_a 9.427
_cell_length_b 9.427
_cell_length_c 9.427
_cell_angle_alpha 153.82
_cell_angle_beta 153.82
_cell_angle_gamma 37.36
_symmetry_space_group_name_H-M 'P 1'
_symmetry_Int_Tables_number 1
_symmetry_space_group_name_Hall 'P 1'
loop_
_atom_site_label
_atom_site_type_symbol
_atom_site_fract_x
_atom_site_fract_y
_atom_site_fract_z
Ba1 Ba 0.000 0.000 0.000
Sr1 Sr 0.331 0.331 0.000
Sr2 Sr 0.669 0.669 0.000
```

Properties
For the density, the calculation gives 3188 kg/m³. The energy above the most stable polymorph in this dataset is 28 meV per atom.

---

What did the third record say?
This record from Alexandria via LeMat-Bulk describes a PBEsol-optimized structure of BaSr2. The functional is SCAN.

Cell and atoms, written as CIF:
```
data_BaSr2
_cell_length_a 9.427
_cell_length_b 9.427
_cell_length_c 9.427
_cell_angle_alpha 153.82
_cell_angle_beta 153.82
_cell_angle_gamma 37.36
_symmetry_space_group_name_H-M 'P 1'
_symmetry_Int_Tables_number 1
_symmetry_space_group_name_Hall 'P 1'
loop_
_atom_site_label
_atom_site_type_symbol
_atom_site_fract_x
_atom_site_fract_y
_atom_site_fract_z
Ba1 Ba 0.000 0.000 0.000
Sr1 Sr 0.331 0.331 0.000
Sr2 Sr 0.669 0.669 0.000
```

Properties
For the density, the calculation gives 3188 kg/m³. The energy above the most stable polymorph in this dataset is 28 meV per atom.

---

Q: What is the formula in the second record?
A: SrBe3Os

---

Q: What is the formula in the second record?
A: SrBe3Os